Ho5NiTe3 | PBE | relaxed

Results
* ΔE to the lowest computed polymorph: 0.072 eV per atom

Lattice parameters (Å, degrees): 8.210 8.210 4.042 90.00 90.00 120.00
Fractional coordinates of all 9 atoms:
Ho1 0.000 0.670 0.000
Ho2 0.330 0.330 0.000
Ho3 0.333 0.667 0.500
Ho4 0.667 0.333 0.500
Ho5 0.670 0.000 0.000
Ni1 0.000 0.000 0.000
Te1 0.000 0.264 0.500
Te2 0.264 0.000 0.500
Te3 0.736 0.736 0.500



Ho3Ni4Te | PBE | relaxed

Lattice parameters (Å, degrees): 5.309 4.059 6.941 90.00 91.34 90.00
Fractional coordinates of all 8 atoms:
Ho1 0.000 0.000 0.000
Ho2 0.247 0.000 0.508
Ho3 0.746 0.500 0.362
Ni1 0.002 0.500 0.723
Ni2 0.241 0.500 0.217
Ni3 0.500 0.000 0.141
Ni4 0.744 0.000 0.650
Te1 0.499 0.500 0.857



HoNi2Te2 | PBE | relaxed

Lattice parameters (Å, degrees): 3.917 3.917 13.074 90.00 90.00 90.00
Fractional coordinates of all 10 atoms:
Ho1 0.000 0.000 0.000
Ho2 0.500 0.500 0.500
Ni1 0.000 0.500 0.250
Ni2 0.000 0.500 0.750
Ni3 0.500 0.000 0.250
Ni4 0.500 0.000 0.750
Te1 0.000 0.000 0.373
Te2 0.000 0.000 0.627
Te3 0.500 0.500 0.127
Te4 0.500 0.500 0.873



HoNi2Te | PBE | relaxed

Results
* ΔE to the lowest computed polymorph: 0.049 eV per atom

Lattice parameters (Å, degrees): 4.168 4.973 7.055 90.00 90.00 90.00
Fractional coordinates of all 8 atoms:
Ho1 0.000 0.163 0.000
Ho2 0.000 0.837 0.500
Ni1 0.000 0.337 0.624
Ni2 0.000 0.663 0.124
Ni3 0.500 0.130 0.723
Ni4 0.500 0.870 0.223
Te1 0.500 0.338 0.377
Te2 0.500 0.662 0.877



HoNi2Te | PBE | relaxed

Results
* ΔE to the lowest computed polymorph: 0.075 eV per atom

Lattice parameters (Å, degrees): 4.925 4.089 7.171 90.00 94.79 90.00
Fractional coordinates of all 8 atoms:
Ho1 0.147 0.250 0.200
Ho2 0.853 0.750 0.800
Ni1 0.167 0.750 0.476
Ni2 0.366 0.750 0.959
Ni3 0.634 0.250 0.041
Ni4 0.833 0.250 0.524
Te1 0.351 0.250 0.698
Te2 0.649 0.750 0.302



Ho5NiTe3 | PBE | relaxed

Results
* ΔE to the lowest computed polymorph: 0.000 eV per atom

Lattice parameters (Å, degrees): 8.538 8.538 3.769 90.00 90.00 120.00
Fractional coordinates of all 9 atoms:
Ho1 0.000 0.227 0.000
Ho2 0.227 0.000 0.000
Ho3 0.333 0.667 0.000
Ho4 0.667 0.333 0.000
Ho5 0.773 0.773 0.000
Ni1 0.000 0.000 0.500
Te1 0.000 0.581 0.500
Te2 0.419 0.419 0.500
Te3 0.581 0.000 0.500



Ho7Ni2Te2 | PBE | relaxed

Lattice parameters (Å, degrees): 9.330 9.330 9.330 156.28 66.97 118.40
Fractional coordinates of all 11 atoms:
Ho1 0.000 0.000 0.000
Ho2 0.285 0.418 0.867
Ho3 0.307 0.621 0.685
Ho4 0.551 0.418 0.133
Ho5 0.625 0.271 0.353
Ho6 0.918 0.271 0.647
Ho7 0.936 0.621 0.315
Ni1 0.166 0.928 0.238
Ni2 0.691 0.928 0.762
Te1 0.265 0.765 0.500
Te2 0.663 0.663 0.000



Ho3NiTe5 | PBE | relaxed

Results
* ΔE to the lowest computed polymorph: 0.123 eV per atom

Lattice parameters (Å, degrees): 8.537 8.537 3.727 90.00 90.00 120.00
Fractional coordinates of all 9 atoms:
Ho1 0.000 0.646 0.000
Ho2 0.354 0.354 0.000
Ho3 0.646 0.000 0.000
Ni1 0.000 0.000 0.000
Te1 0.000 0.232 0.500
Te2 0.232 0.000 0.500
Te3 0.333 0.667 0.500
Te4 0.667 0.333 0.500
Te5 0.768 0.768 0.500



Number 1: electronic total energy -4.739 eV/atom. Number 2: electronic total energy -5.334 eV/atom. Number 3: electronic total energy -4.886 eV/atom. Number 4: electronic total energy -5.135 eV/atom. Number 5: electronic total energy -5.109 eV/atom. Number 6: electronic total energy -4.811 eV/atom. Number 7: electronic total energy -5.174 eV/atom. Number 8: electronic total energy -4.650 eV/atom.